Record 1
BaFe2AsPt after structural relaxation. Source: Alexandria, functional PBE-GGA.

DFT formation energy: 215.95 kJ per mole of atoms

a b c (Å): 4.838 5.504 4.838
angles (deg): 90.00 90.00 90.00
Positions (direct):
1 As 0.000 0.500 0.000
2 Fe 0.500 0.000 0.000
3 Fe 0.000 0.000 0.500
4 Pt 0.500 0.500 0.500
5 Ba 0.000 0.000 0.000

***

Record 2
BaFeAs2Se after structural relaxation. Source: Alexandria, functional PBE-GGA.

Formation energy (no corrections): 1.477 eV per atom
Energy above the most stable polymorph in this dataset: 1.919 eV per atom

a b c (Å): 5.587 5.587 5.692
angles (deg): 90.00 90.00 90.00
Positions (direct):
1 Se 0.000 0.000 0.500
2 Fe 0.500 0.500 0.500
3 As 0.500 0.000 0.000
4 As 0.000 0.500 0.000
5 Ba 0.000 0.000 0.000

***

Record 3
BaFeAs2Se after structural relaxation. Source: Alexandria, functional PBE-GGA.

Formation energy (no corrections): -0.442 eV per atom
Energy above the most stable polymorph in this dataset: 0.000 eV per atom

a b c (Å): 4.590 4.590 5.674
angles (deg): 90.00 90.00 90.00
Positions (direct):
1 Se 0.000 0.000 0.500
2 As 0.500 0.000 0.000
3 As 0.000 0.500 0.000
4 Ba 0.500 0.500 0.500
5 Fe 0.000 0.000 0.000

***

Record 4
BaFeAsSe2 after structural relaxation. Source: Alexandria, functional PBE-GGA.

Formation energy (no corrections): -0.621 eV per atom

a b c (Å): 5.178 5.178 4.567
angles (deg): 90.00 90.00 90.00
Positions (direct):
1 Fe 0.000 0.000 0.000
2 Se 0.500 0.000 0.000
3 Se 0.000 0.500 0.000
4 As 0.000 0.000 0.500
5 Ba 0.500 0.500 0.500

***

Record 5
BaFe2SiAs6 after structural relaxation. Source: Alexandria, functional PBE-GGA.

Formation energy (no corrections): -0.135 eV per atom

a b c (Å): 6.437 6.437 7.660
angles (deg): 65.15 65.15 60.00
Positions (direct):
1 As 0.558 0.100 0.785
2 As 0.100 0.557 0.785
3 As 0.443 0.442 0.215
4 As 0.442 0.900 0.215
5 As 0.900 0.443 0.215
6 As 0.557 0.558 0.785
7 Fe 0.678 0.678 0.967
8 Fe 0.322 0.322 0.033
9 Ba 0.000 0.000 0.000
10 Si 0.500 0.500 0.500

***

Record 6
Ba2FeTeAs after structural relaxation. Source: Alexandria, functional PBE-GGA.

Formation energy (no corrections): -0.677 eV per atom

a b c (Å): 6.089 6.089 4.414
angles (deg): 90.00 90.00 90.00
Positions (direct):
1 Ba 0.500 0.000 0.000
2 Ba 0.000 0.500 0.000
3 As 0.000 0.000 0.500
4 Fe 0.000 0.000 0.000
5 Te 0.500 0.500 0.500

***

Record 7
BaTlFe2As after structural relaxation. Source: Alexandria, functional PBE-GGA.

DFT formation energy: 43.23 kJ per mole of atoms

a b c (Å): 4.729 6.162 4.729
angles (deg): 90.00 90.00 90.00
Positions (direct):
1 Fe 0.500 0.000 0.000
2 Fe 0.000 0.000 0.500
3 Tl 0.500 0.500 0.500
4 As 0.000 0.000 0.000
5 Ba 0.000 0.500 0.000

***

Record 8
BaFeAs2W after structural relaxation. Source: Alexandria, functional PBE-GGA.

DFT formation energy: 260.99 kJ per mole of atoms

a b c (Å): 5.690 5.862 5.690
angles (deg): 90.00 90.00 90.00
Positions (direct):
1 Fe 0.500 0.500 0.500
2 As 0.000 0.000 0.500
3 As 0.500 0.000 0.000
4 W 0.000 0.500 0.000
5 Ba 0.000 0.000 0.000

***

Record 9
BaYFe2As after structural relaxation. Source: Alexandria, functional PBE-GGA.

DFT formation energy: 133.34 kJ per mole of atoms

a b c (Å): 4.824 5.963 4.824
angles (deg): 90.00 90.00 90.00
Positions (direct):
1 As 0.000 0.500 0.000
2 Ba 0.000 0.000 0.000
3 Fe 0.000 0.000 0.500
4 Fe 0.500 0.000 0.000
5 Y 0.500 0.500 0.500

***

Record 10
BaGa2As after structural relaxation. Source: Alexandria, functional PBE-GGA.

DFT formation energy: -53.04 kJ per mole of atoms

a b c (Å): 4.805 4.358 10.309
angles (deg): 90.00 103.28 90.00
Positions (direct):
1 Ga 0.549 0.500 0.241
2 Ga 0.479 0.000 0.099
3 Ga 0.674 0.500 0.500
4 Ga 0.990 0.500 0.120
5 As 0.742 0.000 0.633
6 As 0.915 0.000 0.969
7 Ba 0.114 0.000 0.375
8 Ba 0.324 0.500 0.794

***

Record 11
BaGa2As after structural relaxation. Source: Alexandria, functional PBE-GGA.

DFT formation energy: -36.08 kJ per mole of atoms

a b c (Å): 8.281 8.281 6.709
angles (deg): 51.89 51.89 90.00
Positions (direct):
1 Ga 0.191 0.625 0.250
2 Ga 0.875 0.809 0.750
3 Ga 0.559 0.125 0.250
4 Ga 0.375 0.441 0.750
5 Ba 0.750 0.250 0.500
6 Ba 0.000 0.000 0.000
7 As 0.500 0.500 0.000
8 As 0.250 0.750 0.500

***

Record 12
BaGa2As2 after structural relaxation. Source: Alexandria, functional PBE-GGA.

DFT formation energy: -47.65 kJ per mole of atoms

a b c (Å): 4.672 4.672 6.795
angles (deg): 69.89 69.89 90.00
Positions (direct):
1 Ba 0.000 0.000 0.000
2 As 0.354 0.354 0.291
3 As 0.646 0.646 0.709
4 Ga 0.750 0.250 0.500
5 Ga 0.250 0.750 0.500